Material: Dy4NiRh2
Method: DFT, PBE-GGA
State: relaxed

abc: 8.3808 8.3808 8.3808
angles: 33.23 33.23 33.23
Last column: nearest neighbours and their distance in Å.
Fractional coordinates of all 7 atoms:
Dy  0.1246  0.1246  0.1246  4 Rh 2.94-3.00, 1 Ni 2.96
Dy  0.3753  0.3753  0.3753  4 Rh 2.93-2.94, 3 Ni 2.94
Dy  0.6247  0.6247  0.6247  4 Rh 2.93-2.94, 3 Ni 2.94
Dy  0.8754  0.8754  0.8754  4 Rh 2.94-3.00, 1 Ni 2.96
Ni  0.0000  0.0000  0.0000  8 Dy 2.94-2.96
Rh  0.2512  0.2512  0.2512  8 Dy 2.93-3.00
Rh  0.7488  0.7488  0.7488  8 Dy 2.93-3.00

Summary:
Energy of formation from the pure elements, eV/atom: -0.64
VASP energy, eV for the cell shown: -43.35
SG: R-3m, No. 166

Material: Dy8Ni2Rh
Method: DFT, PBE-GGA
State: relaxed

abc: 8.9067 8.9067 6.6011
angles: 104.38 104.38 32.67
Last column: nearest neighbours and their distance in Å.
Fractional coordinates of all 11 atoms:
Dy  0.0371  0.0371  0.2894  1 Ni 2.74, 2 Rh 3.01
Dy  0.2016  0.2016  0.8304  1 Ni 2.68
Dy  0.3294  0.3294  0.5212  1 Ni 2.66, 1 Rh 2.95
Dy  0.4096  0.4096  0.0529  1 Rh 2.96, 2 Ni 3.31
Dy  0.5904  0.5904  0.9471  1 Rh 2.96, 2 Ni 3.31
Dy  0.6706  0.6706  0.4788  1 Ni 2.66, 1 Rh 2.95
Dy  0.7984  0.7984  0.1696  1 Ni 2.68
Dy  0.9629  0.9629  0.7106  1 Ni 2.74, 2 Rh 3.01
Ni  0.1894  0.1894  0.2273  3 Dy 2.66-2.74
Ni  0.8106  0.8106  0.7727  3 Dy 2.66-2.74
Rh  0.5000  0.5000  0.5000  8 Dy 2.95-3.01

Summary:
Energy of formation from the pure elements, eV/atom: -0.31
VASP energy, eV for the cell shown: -59.18
Relative energy among the computed polymorphs, meV per atom: 0
SG: C2/m, No. 12

Material: Dy4Ni2Rh
Method: DFT, PBE-GGA
State: relaxed

abc: 8.3147 8.3147 8.3147
angles: 33.33 33.33 33.33
Last column: nearest neighbours and their distance in Å.
Fractional coordinates of all 7 atoms:
Dy  0.1237  0.1237  0.1237  4 Ni 2.90-2.95, 3 Rh 2.93
Dy  0.3747  0.3747  0.3747  4 Ni 2.93-2.96, 1 Rh 2.95
Dy  0.6253  0.6253  0.6253  4 Ni 2.93-2.96, 1 Rh 2.95
Dy  0.8763  0.8763  0.8763  4 Ni 2.90-2.95, 3 Rh 2.93
Ni  0.2490  0.2490  0.2490  8 Dy 2.90-2.96
Ni  0.7510  0.7510  0.7510  8 Dy 2.90-2.96
Rh  0.5000  0.5000  0.5000  8 Dy 2.93-2.95

Summary:
Energy of formation from the pure elements, eV/atom: -0.45
VASP energy, eV for the cell shown: -40.48
Relative energy among the computed polymorphs, meV per atom: 0
SG: R-3m, No. 166

Material: Dy8Ni2Rh
Method: DFT, PBE-GGA
State: relaxed

abc: 7.5087 7.5087 5.8651
angles: 99.86 99.86 114.62
Last column: nearest neighbours and their distance in Å.
Fractional coordinates of all 11 atoms:
Dy  0.0000  0.0000  0.0000  1 Rh 2.83, 2 Ni 3.11
Dy  0.0246  0.2816  0.5892  2 Ni 2.71-2.73
Dy  0.1490  0.5779  0.1801  1 Rh 2.80, 1 Ni 3.13
Dy  0.2816  0.0246  0.5892  2 Ni 2.71-2.73
Dy  0.4470  0.7037  0.7828  2 Ni 2.73-2.75
Dy  0.5779  0.1490  0.1801  1 Rh 2.80, 1 Ni 3.13
Dy  0.7037  0.4470  0.7828  2 Ni 2.73-2.75
Dy  0.7253  0.7253  0.3542  1 Rh 2.91, 2 Ni 3.11
Ni  0.0594  0.6655  0.6775  4 Dy 2.71-2.75
Ni  0.6655  0.0594  0.6775  4 Dy 2.71-2.75
Rh  0.3607  0.3607  0.0593  4 Dy 2.80-2.91

Summary:
Energy of formation from the pure elements, eV/atom: -0.23
VASP energy, eV for the cell shown: -58.24
Relative energy among the computed polymorphs, meV per atom: 85
SG: Cm, No. 8

Material: DyNi3Rh2
Method: DFT, PBE-GGA
State: relaxed

abc: 7.2745 7.2745 7.2745
angles: 44.50 44.50 44.50
Last column: nearest neighbours and their distance in Å.
Fractional coordinates of all 12 atoms:
Dy  0.2159  0.2159  0.2159  9 Ni 2.73-2.76, 3 Rh 2.80
Dy  0.7841  0.7841  0.7841  9 Ni 2.73-2.76, 3 Rh 2.80
Ni  0.2545  0.7109  0.7109  4 Ni 2.51-2.73, 3 Rh 2.61-2.73, 3 Dy 2.73-2.76
Ni  0.2891  0.2891  0.7455  4 Ni 2.51-2.73, 3 Rh 2.61-2.73, 3 Dy 2.73-2.76
Ni  0.2891  0.7455  0.2891  4 Ni 2.51-2.73, 3 Rh 2.61-2.73, 3 Dy 2.73-2.76
Ni  0.7109  0.2545  0.7109  4 Ni 2.51-2.73, 3 Rh 2.61-2.73, 3 Dy 2.73-2.76
Ni  0.7109  0.7109  0.2545  4 Ni 2.51-2.73, 3 Rh 2.61-2.73, 3 Dy 2.73-2.76
Ni  0.7455  0.2891  0.2891  4 Ni 2.51-2.73, 3 Rh 2.61-2.73, 3 Dy 2.73-2.76
Rh  0.0000  0.0000  0.0000  6 Ni 2.73, 6 Rh 2.75
Rh  0.0000  0.5000  0.5000  4 Ni 2.61, 6 Rh 2.75, 2 Dy 2.80
Rh  0.5000  0.0000  0.5000  4 Ni 2.61, 6 Rh 2.75, 2 Dy 2.80
Rh  0.5000  0.5000  0.0000  4 Ni 2.61, 6 Rh 2.75, 2 Dy 2.80

Summary:
Energy of formation from the pure elements, eV/atom: -0.19
VASP energy, eV for the cell shown: -75.55
SG: R-3m, No. 166

Material: Dy2NiRh
Method: DFT, PBE-GGA
State: relaxed

abc: 5.6098 4.1038 7.6458
angles: 90.00 109.81 90.00
Last column: nearest neighbours and their distance in Å.
Fractional coordinates of all 8 atoms:
Dy  0.2172  0.2500  0.4307  4 Ni 2.87-3.00, 3 Rh 2.88-3.00
Dy  0.2176  0.2500  0.9288  3 Ni 2.89-3.02, 4 Rh 2.90-3.01
Dy  0.7824  0.7500  0.0712  3 Ni 2.89-3.02, 4 Rh 2.90-3.01
Dy  0.7828  0.7500  0.5693  4 Ni 2.87-3.00, 3 Rh 2.88-3.00
Ni  0.3439  0.7500  0.7089  2 Rh 2.64, 4 Dy 2.87-2.89
Ni  0.6561  0.2500  0.2911  2 Rh 2.64, 4 Dy 2.87-2.89
Rh  0.3421  0.7500  0.2127  2 Ni 2.64, 4 Dy 2.88-2.90
Rh  0.6579  0.2500  0.7873  2 Ni 2.64, 4 Dy 2.88-2.90

Summary:
Energy of formation from the pure elements, eV/atom: -0.66
VASP energy, eV for the cell shown: -49.94
SG: P2_1/m, No. 11

We obtain calculated volume values of 22.5; 24.8; 22.1; 25.9; 14.3; 20.7 Å³ per atom for the records listed above, in that order.
We obtain total magnetization values of 0.00; 0.00; 0.00; 0.00; 0.01; 0.00 μB/f.u. for the records listed above, in that order.